Record 1
DFT (PBE) results for crystalline LaCd2Hg at its relaxed geometry.

The total moment comes out at 0.04 μB per cell. As for the uncorrected energy: -1.89 eV/atom. Its density of states at the Fermi level is 6.37 states/eV/cell. Its volume is 219.79 Å³ per cell. The value obtained for the formation energy is -0.126 eV per atom.

It has space group C2/m (No. 12), with a = 6.344 Å, b = 11.617 Å, c = 3.347 Å, α = 90.00°, β = 116.99° and γ = 90.00°. Symmetry generates all atoms from La at (0.000, 0.000, 0.000), Cd at (0.250, 0.250, 0.500) and Hg at (0.000, 0.500, 0.000).

=====

Record 2
DFT (PBE) results for crystalline LaCd12Hg6 at its relaxed geometry.

The total moment comes out at 0.00 μB per cell. As for the uncorrected energy: -0.99 eV/atom. Its density of states at the Fermi level is 14.39 states/eV/cell. Its volume is 1424.50 Å³ per cell. The value obtained for the formation energy is -0.058 eV per atom. Its polymorph energy (0 for the lowest one) is 0 meV per atom.

It has space group R-3 (No. 148, hexagonal axes), with a = 12.6323 Å, b = 12.6323 Å, c = 10.3078 Å, α = 90.00°, β = 90.00° and γ = 120.00°. Symmetry generates all atoms from La at (0.0000, 0.0000, 0.0000), Cd at (0.9995, 0.2686, 0.9999), Cd at (0.0667, 0.5338, 0.1221) and Hg at (0.0856, 0.9132, 0.7454).

=====

Record 3
DFT (PBE) results for crystalline La3Cd2Hg9 at its relaxed geometry.

The total moment comes out at 0.00 μB per cell. As for the uncorrected energy: -1.71 eV/atom. Its density of states at the Fermi level is 18.05 states/eV/cell. Its volume is 726.01 Å³ per cell. The value obtained for the formation energy is -0.325 eV per atom.

It has space group Immm (No. 71), with a = 5.086 Å, b = 9.728 Å, c = 14.673 Å, α = 90.00°, β = 90.00° and γ = 90.00°. Symmetry generates all atoms from La at (0.000, 0.000, 0.000), La at (0.000, 0.000, 0.285), Cd at (0.000, 0.161, 0.500), Hg at (0.000, 0.290, 0.149), Hg at (0.000, 0.357, 0.354) and Hg at (0.000, 0.500, 0.000).